[1]
A plane-wave DFT calculation with PBEsol was carried out for RbAgAsH2 after structural relaxation.

CIF file:
```
data_RbAgAsH2
_chemical_formula_sum 'Rb1 Ag1 As1 H2'
_symmetry_space_group_name_H-M 'P 4/m m m'
_symmetry_Int_Tables_number 123
_symmetry_space_group_name_Hall '-P 4 2'
_cell_length_a 3.969
_cell_length_b 3.969
_cell_length_c 6.464
_cell_angle_alpha 90.00
_cell_angle_beta 90.00
_cell_angle_gamma 90.00
loop_
_atom_site_label
_atom_site_fract_x
_atom_site_fract_y
_atom_site_fract_z
_atom_site_occupancy
Rb1 0.000 0.000 0.000 1
Ag1 0.000 0.000 0.500 1
As1 0.500 0.500 0.500 1
H1 0.000 0.500 0.000 1
```

[2]
A plane-wave DFT calculation with PBEsol was carried out for Na2Tl2B10O17 after structural relaxation.

Summary:
- energy relative to the elements, uncorrected (eV per atom) = -2.282

CIF file:
```
data_Na2Tl2B10O17
_chemical_formula_sum 'Na8 Tl8 B40 O68'
_symmetry_space_group_name_H-M 'C 1 2/c 1'
_symmetry_Int_Tables_number 15
_symmetry_space_group_name_Hall '-C 2yc'
_cell_length_a 21.990
_cell_length_b 6.469
_cell_length_c 10.956
_cell_angle_alpha 90.00
_cell_angle_beta 105.59
_cell_angle_gamma 90.00
loop_
_atom_site_label
_atom_site_fract_x
_atom_site_fract_y
_atom_site_fract_z
_atom_site_occupancy
Na1 0.234 0.047 0.186 1
Tl1 0.073 0.182 0.071 1
B1 0.055 0.317 0.736 1
B2 0.143 0.333 0.637 1
B3 0.154 0.132 0.843 1
B4 0.164 0.232 0.429 1
B5 0.183 0.417 0.002 1
O1 0.000 0.401 0.750 1
O2 0.079 0.391 0.642 1
O3 0.086 0.169 0.820 1
O4 0.139 0.191 0.527 1
O5 0.168 0.091 0.339 1
O6 0.175 0.469 0.118 1
O7 0.180 0.231 0.750 1
O8 0.184 0.211 0.974 1
O9 0.187 0.430 0.416 1
```

[3]
A plane-wave DFT calculation with PBEsol was carried out for Pd3RhBr after structural relaxation.

Summary:
- energy relative to the elements, uncorrected (eV per atom) = 1.042

CIF file:
```
data_Pd3RhBr
_chemical_formula_sum 'Pd3 Rh1 Br1'
_symmetry_space_group_name_H-M 'P m -3 m'
_symmetry_Int_Tables_number 221
_symmetry_space_group_name_Hall '-P 4 2 3'
_cell_length_a 4.566
_cell_length_b 4.566
_cell_length_c 4.566
_cell_angle_alpha 90.00
_cell_angle_beta 90.00
_cell_angle_gamma 90.00
loop_
_atom_site_label
_atom_site_fract_x
_atom_site_fract_y
_atom_site_fract_z
_atom_site_occupancy
Pd1 0.000 0.000 0.500 1
Rh1 0.500 0.500 0.500 1
Br1 0.000 0.000 0.000 1
```

[4]
A plane-wave DFT calculation with PBEsol was carried out for Zr3FeC after structural relaxation.

Summary:
- ΔH_f (0 K) (kJ per mole of atoms) = 120

CIF file:
```
data_Zr3FeC
_chemical_formula_sum 'Zr3 Fe1 C1'
_symmetry_space_group_name_H-M 'P m -3 m'
_symmetry_Int_Tables_number 221
_symmetry_space_group_name_Hall '-P 4 2 3'
_cell_length_a 4.617
_cell_length_b 4.617
_cell_length_c 4.617
_cell_angle_alpha 90.00
_cell_angle_beta 90.00
_cell_angle_gamma 90.00
loop_
_atom_site_label
_atom_site_fract_x
_atom_site_fract_y
_atom_site_fract_z
_atom_site_occupancy
Zr1 0.000 0.000 0.500 1
Fe1 0.000 0.000 0.000 1
C1 0.500 0.500 0.500 1
```

[5]
A plane-wave DFT calculation with PBEsol was carried out for InC3 after structural relaxation.

Summary:
- relative energy among the computed polymorphs (eV/atom) = 0.5912
- ΔH_f (0 K) (kJ per mole of atoms) = 275

CIF file:
```
data_InC3
_chemical_formula_sum 'In2 C6'
_symmetry_space_group_name_H-M 'I m -3 m'
_symmetry_Int_Tables_number 229
_symmetry_space_group_name_Hall '-I 4 2 3'
_cell_length_a 4.365
_cell_length_b 4.365
_cell_length_c 4.365
_cell_angle_alpha 90.00
_cell_angle_beta 90.00
_cell_angle_gamma 90.00
loop_
_atom_site_label
_atom_site_fract_x
_atom_site_fract_y
_atom_site_fract_z
_atom_site_occupancy
In1 0.000 0.000 0.000 1
C1 0.000 0.000 0.500 1
```

[6]
A plane-wave DFT calculation with PBEsol was carried out for MgReSb2 after structural relaxation.

Summary:
- energy relative to the elements, uncorrected (eV per atom) = 0.465

CIF file:
```
data_MgReSb2
_chemical_formula_sum 'Mg1 Re1 Sb2'
_symmetry_space_group_name_H-M 'P 4/m m m'
_symmetry_Int_Tables_number 123
_symmetry_space_group_name_Hall '-P 4 2'
_cell_length_a 4.723
_cell_length_b 4.723
_cell_length_c 3.450
_cell_angle_alpha 90.00
_cell_angle_beta 90.00
_cell_angle_gamma 90.00
loop_
_atom_site_label
_atom_site_fract_x
_atom_site_fract_y
_atom_site_fract_z
_atom_site_occupancy
Mg1 0.000 0.000 0.000 1
Re1 0.500 0.500 0.000 1
Sb1 0.000 0.500 0.500 1
```

[7]
A plane-wave DFT calculation with PBEsol was carried out for TiInPt2 after structural relaxation.

Summary:
- ΔH_f (0 K) (kJ per mole of atoms) = -67

CIF file:
```
data_TiInPt2
_chemical_formula_sum 'Ti1 In1 Pt2'
_symmetry_space_group_name_H-M 'P 4/m m m'
_symmetry_Int_Tables_number 123
_symmetry_space_group_name_Hall '-P 4 2'
_cell_length_a 3.228
_cell_length_b 3.228
_cell_length_c 6.368
_cell_angle_alpha 90.00
_cell_angle_beta 90.00
_cell_angle_gamma 90.00
loop_
_atom_site_label
_atom_site_fract_x
_atom_site_fract_y
_atom_site_fract_z
_atom_site_occupancy
Ti1 0.000 0.000 0.000 1
In1 0.000 0.000 0.500 1
Pt1 0.500 0.500 0.217 1
```

[8]
A plane-wave DFT calculation with PBEsol was carried out for Tl2MoRu after structural relaxation.

Summary:
- relative energy among the computed polymorphs (eV/atom) = 0.0000
- ΔH_f (0 K) (kJ per mole of atoms) = 34

CIF file:
```
data_Tl2MoRu
_chemical_formula_sum 'Tl2 Mo1 Ru1'
_symmetry_space_group_name_H-M 'P 4 m m'
_symmetry_Int_Tables_number 99
_symmetry_space_group_name_Hall 'P 4 -2'
_cell_length_a 3.021
_cell_length_b 3.021
_cell_length_c 8.594
_cell_angle_alpha 90.00
_cell_angle_beta 90.00
_cell_angle_gamma 90.00
loop_
_atom_site_label
_atom_site_fract_x
_atom_site_fract_y
_atom_site_fract_z
_atom_site_occupancy
Tl1 0.000 0.000 0.000 1
Tl2 0.500 0.500 0.332 1
Mo1 0.000 0.000 0.588 1
Ru1 0.500 0.500 0.749 1
```

[9]
A plane-wave DFT calculation with PBEsol was carried out for Mn2SnOsW after structural relaxation.

Summary:
- ΔH_f (0 K) (kJ per mole of atoms) = 197

CIF file:
```
data_Mn2SnOsW
_chemical_formula_sum 'Mn2 Sn1 Os1 W1'
_symmetry_space_group_name_H-M 'P 4/m m m'
_symmetry_Int_Tables_number 123
_symmetry_space_group_name_Hall '-P 4 2'
_cell_length_a 4.398
_cell_length_b 4.398
_cell_length_c 5.044
_cell_angle_alpha 90.00
_cell_angle_beta 90.00
_cell_angle_gamma 90.00
loop_
_atom_site_label
_atom_site_fract_x
_atom_site_fract_y
_atom_site_fract_z
_atom_site_occupancy
Mn1 0.000 0.500 0.000 1
Sn1 0.000 0.000 0.500 1
Os1 0.500 0.500 0.500 1
W1 0.000 0.000 0.000 1
```

[10]
A plane-wave DFT calculation with PBEsol was carried out for NdRe2SiC after structural relaxation.

Summary:
- energy relative to the elements, uncorrected (eV per atom) = -0.460

CIF file:
```
data_NdRe2SiC
_chemical_formula_sum 'Nd4 Re8 Si4 C4'
_symmetry_space_group_name_H-M 'C m c m'
_symmetry_Int_Tables_number 63
_symmetry_space_group_name_Hall '-C 2c 2'
_cell_length_a 3.997
_cell_length_b 10.870
_cell_length_c 7.282
_cell_angle_alpha 90.00
_cell_angle_beta 90.00
_cell_angle_gamma 90.00
loop_
_atom_site_label
_atom_site_fract_x
_atom_site_fract_y
_atom_site_fract_z
_atom_site_occupancy
Nd1 0.000 0.043 0.250 1
Re1 0.000 0.325 0.062 1
Si1 0.000 0.235 0.750 1
C1 0.000 0.500 0.000 1
```

[11]
A plane-wave DFT calculation with PBEsol was carried out for LiTcBr after structural relaxation.

Summary:
- relative energy among the computed polymorphs (eV/atom) = 0.3827
- energy relative to the elements, uncorrected (eV per atom) = 0.882

CIF file:
```
data_LiTcBr
_chemical_formula_sum 'Li4 Tc4 Br4'
_symmetry_space_group_name_H-M 'F -4 3 m'
_symmetry_Int_Tables_number 216
_symmetry_space_group_name_Hall 'F -4 2 3'
_cell_length_a 5.880
_cell_length_b 5.880
_cell_length_c 5.880
_cell_angle_alpha 90.00
_cell_angle_beta 90.00
_cell_angle_gamma 90.00
loop_
_atom_site_label
_atom_site_fract_x
_atom_site_fract_y
_atom_site_fract_z
_atom_site_occupancy
Li1 0.000 0.000 0.000 1
Tc1 0.250 0.250 0.250 1
Br1 0.000 0.000 0.500 1
```

[12]
A plane-wave DFT calculation with PBEsol was carried out for KLi2Tc after structural relaxation.

Summary:
- relative energy among the computed polymorphs (eV/atom) = 0.3221
- ΔH_f (0 K) (kJ per mole of atoms) = 109

CIF file:
```
data_KLi2Tc
_chemical_formula_sum 'K4 Li8 Tc4'
_symmetry_space_group_name_H-M 'F m -3 m'
_symmetry_Int_Tables_number 225
_symmetry_space_group_name_Hall '-F 4 2 3'
_cell_length_a 7.018
_cell_length_b 7.018
_cell_length_c 7.018
_cell_angle_alpha 90.00
_cell_angle_beta 90.00
_cell_angle_gamma 90.00
loop_
_atom_site_label
_atom_site_fract_x
_atom_site_fract_y
_atom_site_fract_z
_atom_site_occupancy
K1 0.000 0.000 0.000 1
Li1 0.250 0.250 0.250 1
Tc1 0.000 0.000 0.500 1
```

no.,total energy (eV per atom)
1,-2.08
2,-7.68
3,-4.53
4,-7.94
5,-5.13
6,-5.58
7,-7.00
8,-6.45
9,-7.92
10,-9.90
11,-4.15
12,-2.95